No. 1
First-principles (PBE) data for a relaxed MnNi2Pt crystal, as listed in Alexandria.

Its formation energy is -0.08 eV/atom. The value obtained for the total magnetization is 13.2 Bohr magnetons per cell. Its electronic total energy is -6.78 eV/atom.

The space group is F-43m (No. 216) and the conventional cell measures 5.909, 5.909 and 5.909 Å, with angles of 90.00, 90.00 and 90.00 degrees. The asymmetric unit holds Mn at (0.000, 0.000, 0.000), Ni at (0.000, 0.000, 0.500), Ni at (0.250, 0.250, 0.250) and Pt at (0.250, 0.250, 0.750).

No. 2
First-principles (PBE) data for a relaxed ErPuZnO6 crystal, as listed in Alexandria.

The energy relative to the elements, uncorrected is -2.302 eV per atom. The value obtained for the total magnetization is 1.0 Bohr magnetons per cell. Its electronic total energy is -7.85 eV/atom.

The space group is P312 (No. 149) and the conventional cell measures 5.5884, 5.5884 and 4.4919 Å, with angles of 90.00, 90.00 and 120.00 degrees. The asymmetric unit holds Er at (0.0000, 0.0000, 0.0000), Pu at (0.3333, 0.6667, 0.0000), Zn at (0.6667, 0.3333, 0.5000) and O at (0.0224, 0.3616, 0.2379).

No. 3
First-principles (PBE) data for a relaxed KOs2 crystal, as listed in Alexandria.

Its formation energy is 0.78 eV/atom. Its energy relative to the lowest polymorph listed for this composition is 0 meV per atom. The value obtained for the total magnetization is 0.0 Bohr magnetons per cell. Its electronic total energy is -7.08 eV/atom.

The space group is Immm (No. 71) and the conventional cell measures 2.699, 4.012 and 12.373 Å, with angles of 90.00, 90.00 and 90.00 degrees. The asymmetric unit holds K at (0.000, 0.000, 0.000) and Os at (0.000, 0.000, 0.283).

No. 4
First-principles (PBE) data for a relaxed TlZn3H crystal, as listed in Alexandria.

Its energy relative to the lowest polymorph listed for this composition is 0 meV per atom. The value obtained for the total magnetization is 0.0 Bohr magnetons per cell. Its electronic total energy is -1.56 eV/atom.

The space group is Pm-3m (No. 221) and the conventional cell measures 4.313, 4.313 and 4.313 Å, with angles of 90.00, 90.00 and 90.00 degrees. The asymmetric unit holds Tl at (0.000, 0.000, 0.000), Zn at (0.000, 0.500, 0.500) and H at (0.500, 0.500, 0.500).